# MgHgMo2 PBE optimized geometry
data_MgHgMo2
_space_group_name_H-M_alt 'I m m 2'
_space_group_IT_number 44
_cell_length_a 3.3692
_cell_length_b 4.8024
_cell_length_c 8.9584
_cell_angle_alpha 90.00
_cell_angle_beta 90.00
_cell_angle_gamma 90.00
loop_
_space_group_symop_operation_xyz
'x,y,z'
'-x,-y,z'
'-x,y,z'
'x,-y,z'
'x+1/2,y+1/2,z+1/2'
'-x+1/2,-y+1/2,z+1/2'
'-x+1/2,y+1/2,z+1/2'
'x+1/2,-y+1/2,z+1/2'
loop_
_atom_site_label
_atom_site_type_symbol
_atom_site_fract_x
_atom_site_fract_y
_atom_site_fract_z
_atom_site_occupancy
Mg1 Mg 0.0000 0.0000 0.0000 1
Hg1 Hg 0.0000 0.5000 0.2425 1
Mo1 Mo 0.0000 0.0000 0.4684 1
Mo2 Mo 0.0000 0.5000 0.7670 1
# - relative energy among the computed polymorphs (meV per atom) = 137
# - Fermi-level density of states (states/eV/atom) = 0.454

---

# MgHg2Mo PBE optimized geometry
data_MgHg2Mo
_space_group_name_H-M_alt 'C m m m'
_space_group_IT_number 65
_space_group_name_Hall '-C 2 2'
_cell_length_a 4.1611
_cell_length_b 4.1844
_cell_length_c 8.7465
_cell_angle_alpha 90.00
_cell_angle_beta 90.00
_cell_angle_gamma 90.00
loop_
_atom_site_label
_atom_site_type_symbol
_atom_site_fract_x
_atom_site_fract_y
_atom_site_fract_z
_atom_site_occupancy
Mg1 Mg 0.0000 0.0000 0.0000 1
Hg1 Hg 0.0000 0.5000 0.2515 1
Mo1 Mo 0.0000 0.0000 0.5000 1
# - Fermi-level density of states (states/eV/atom) = 0.301
# - E (Ry per atom) = -0.216

---

# Mg2HgMo PBE optimized geometry
data_Mg2HgMo
_space_group_name_H-M_alt 'I m m 2'
_space_group_IT_number 44
_cell_length_a 3.1043
_cell_length_b 4.8547
_cell_length_c 10.0410
_cell_angle_alpha 90.00
_cell_angle_beta 90.00
_cell_angle_gamma 90.00
loop_
_space_group_symop_operation_xyz
'x,y,z'
'-x,-y,z'
'-x,y,z'
'x,-y,z'
'x+1/2,y+1/2,z+1/2'
'-x+1/2,-y+1/2,z+1/2'
'-x+1/2,y+1/2,z+1/2'
'x+1/2,-y+1/2,z+1/2'
loop_
_atom_site_label
_atom_site_type_symbol
_atom_site_fract_x
_atom_site_fract_y
_atom_site_fract_z
_atom_site_occupancy
Mg1 Mg 0.0000 0.0000 0.0000 1
Mg2 Mg 0.0000 0.5000 0.2323 1
Hg1 Hg 0.0000 0.0000 0.4886 1
Mo1 Mo 0.0000 0.5000 0.7438 1
# - Fermi-level density of states (states/eV/atom) = 0.667
# - E (Ry per atom) = -0.239

---

# Mg3HgMo PBE optimized geometry
data_Mg3HgMo
_space_group_name_H-M_alt 'P m -3 m'
_space_group_IT_number 221
_space_group_name_Hall '-P 4 2 3'
_cell_length_a 5.1361
_cell_length_b 5.1361
_cell_length_c 5.1361
_cell_angle_alpha 90.00
_cell_angle_beta 90.00
_cell_angle_gamma 90.00
loop_
_atom_site_label
_atom_site_type_symbol
_atom_site_fract_x
_atom_site_fract_y
_atom_site_fract_z
_atom_site_occupancy
Mg1 Mg 0.0000 0.0000 0.5000 1
Hg1 Hg 0.0000 0.0000 0.0000 1
Mo1 Mo 0.5000 0.5000 0.5000 1
# - relative energy among the computed polymorphs (meV per atom) = 0
# - Fermi-level density of states (states/eV/atom) = 0.759

---

# MgHgMo2 PBE optimized geometry
data_MgHgMo2
_space_group_name_H-M_alt 'C 1 2/m 1'
_space_group_IT_number 12
_cell_length_a 5.4346
_cell_length_b 9.3976
_cell_length_c 2.7836
_cell_angle_alpha 90.00
_cell_angle_beta 101.18
_cell_angle_gamma 90.00
loop_
_space_group_symop_operation_xyz
'x,y,z'
'-x,-y,-z'
'-x,y,-z'
'x,-y,z'
'x+1/2,y+1/2,z'
'-x+1/2,-y+1/2,-z'
'-x+1/2,y+1/2,-z'
'x+1/2,-y+1/2,z'
loop_
_atom_site_label
_atom_site_type_symbol
_atom_site_fract_x
_atom_site_fract_y
_atom_site_fract_z
_atom_site_occupancy
Mg1 Mg 0.0000 0.0000 0.0000 1
Hg1 Hg 0.0000 0.5000 0.0000 1
Mo1 Mo 0.2500 0.2500 0.5000 1
# - relative energy among the computed polymorphs (meV per atom) = 208
# - Fermi-level density of states (states/eV/atom) = 0.565

---

# MgHgMo2 PBE optimized geometry
data_MgHgMo2
_space_group_name_H-M_alt 'C m m 2'
_space_group_IT_number 35
_cell_length_a 3.2557
_cell_length_b 4.8178
_cell_length_c 9.3672
_cell_angle_alpha 90.00
_cell_angle_beta 90.00
_cell_angle_gamma 90.00
loop_
_space_group_symop_operation_xyz
'x,y,z'
'-x,-y,z'
'-x,y,z'
'x,-y,z'
'x+1/2,y+1/2,z'
'-x+1/2,-y+1/2,z'
'-x+1/2,y+1/2,z'
'x+1/2,-y+1/2,z'
loop_
_atom_site_label
_atom_site_type_symbol
_atom_site_fract_x
_atom_site_fract_y
_atom_site_fract_z
_atom_site_occupancy
Mg1 Mg 0.0000 0.0000 0.0000 1
Hg1 Hg 0.0000 0.5000 0.7317 1
Mo1 Mo 0.0000 0.0000 0.4618 1
Mo2 Mo 0.0000 0.5000 0.2523 1
# - relative energy among the computed polymorphs (meV per atom) = 42
# - Fermi-level density of states (states/eV/atom) = 0.755

---

# MgHgMo2 PBE optimized geometry
data_MgHgMo2
_space_group_name_H-M_alt 'F m -3 m'
_space_group_IT_number 225
_space_group_name_Hall '-F 4 2 3'
_cell_length_a 6.5395
_cell_length_b 6.5395
_cell_length_c 6.5395
_cell_angle_alpha 90.00
_cell_angle_beta 90.00
_cell_angle_gamma 90.00
loop_
_atom_site_label
_atom_site_type_symbol
_atom_site_fract_x
_atom_site_fract_y
_atom_site_fract_z
_atom_site_occupancy
Mg1 Mg 0.0000 0.0000 0.0000 1
Hg1 Hg 0.0000 0.0000 0.5000 1
Mo1 Mo 0.2500 0.2500 0.2500 1
# - relative energy among the computed polymorphs (meV per atom) = 611
# - Fermi-level density of states (states/eV/atom) = 1.803

---

# Mg3HgMo PBE optimized geometry
data_Mg3HgMo
_space_group_name_H-M_alt 'P m -3 m'
_space_group_IT_number 221
_space_group_name_Hall '-P 4 2 3'
_cell_length_a 5.3784
_cell_length_b 5.3784
_cell_length_c 5.3784
_cell_angle_alpha 90.00
_cell_angle_beta 90.00
_cell_angle_gamma 90.00
loop_
_atom_site_label
_atom_site_type_symbol
_atom_site_fract_x
_atom_site_fract_y
_atom_site_fract_z
_atom_site_occupancy
Mg1 Mg 0.0000 0.0000 0.5000 1
Hg1 Hg 0.5000 0.5000 0.5000 1
Mo1 Mo 0.0000 0.0000 0.0000 1
# - relative energy among the computed polymorphs (meV per atom) = 45
# - Fermi-level density of states (states/eV/atom) = 0.987